(1)
# Ag2HOs2, optimized geometry, DFT PBE-GGA
data_Ag2HOs2
_chemical_formula_sum 'Ag4 H2 Os4'
_cell_length_a 8.3895
_cell_length_b 8.3895
_cell_length_c 2.6158
_cell_angle_alpha 90.00
_cell_angle_beta 90.00
_cell_angle_gamma 90.00
_symmetry_space_group_name_H-M 'P 4/m b m'
_symmetry_Int_Tables_number 127
_symmetry_space_group_name_Hall '-P 4 2ab'
loop_
_atom_site_label
_atom_site_type_symbol
_atom_site_fract_x
_atom_site_fract_y
_atom_site_fract_z
Ag1 Ag 0.1950 0.3050 0.0000
H1 H 0.0000 0.0000 0.0000
Os1 Os 0.0988 0.5988 0.5000
# * distance to the lowest polymorph of the same formula: 227 meV per atom



(2)
# Pm4Al2GaAg, optimized geometry, DFT PBE-GGA
data_Pm4Al2GaAg
_chemical_formula_sum 'Pm12 Al6 Ga3 Ag3'
_cell_length_a 5.2466
_cell_length_b 5.2466
_cell_length_c 25.7954
_cell_angle_alpha 90.00
_cell_angle_beta 90.00
_cell_angle_gamma 120.00
_symmetry_space_group_name_H-M 'R -3 m'
_symmetry_Int_Tables_number 166
_symmetry_space_group_name_Hall '-R 3 2"'
loop_
_atom_site_label
_atom_site_type_symbol
_atom_site_fract_x
_atom_site_fract_y
_atom_site_fract_z
Pm1 Pm 0.0000 0.0000 0.1232
Pm2 Pm 0.0000 0.0000 0.3737
Al1 Al 0.0000 0.0000 0.2483
Ga1 Ga 0.0000 0.0000 0.0000
Ag1 Ag 0.0000 0.0000 0.5000
# * ΔE_f: -0.365 eV/atom



(3)
# MnZnAu14, optimized geometry, DFT PBE-GGA
data_MnZnAu14
_chemical_formula_sum 'Mn2 Zn2 Au28'
_cell_length_a 9.3862
_cell_length_b 5.9918
_cell_length_c 10.1134
_cell_angle_alpha 90.00
_cell_angle_beta 90.00
_cell_angle_gamma 90.00
_symmetry_space_group_name_H-M 'A m m 2'
_symmetry_Int_Tables_number 38
loop_
_symmetry_equiv_pos_as_xyz
'x,y,z'
'-x,-y,z'
'-x,y,z'
'x,-y,z'
'x,y+1/2,z+1/2'
'-x,-y+1/2,z+1/2'
'-x,y+1/2,z+1/2'
'x,-y+1/2,z+1/2'
loop_
_atom_site_label
_atom_site_type_symbol
_atom_site_fract_x
_atom_site_fract_y
_atom_site_fract_z
Mn1 Mn 0.0000 0.0000 0.0000
Zn1 Zn 0.0000 0.0000 0.5002
Au1 Au 0.0000 0.2495 0.2532
Au2 Au 0.2383 0.2504 0.0770
Au3 Au 0.2481 0.0000 0.3306
Au4 Au 0.2478 0.0000 0.8317
Au5 Au 0.5000 0.0000 0.1590
Au6 Au 0.5000 0.0000 0.6592
Au7 Au 0.5000 0.2495 0.4117
# * ΔE_f: -0.019 eV/atom



(4)
# Li2Pm2SmGa2, optimized geometry, DFT PBE-GGA
data_Li2Pm2SmGa2
_chemical_formula_sum 'Li6 Pm6 Sm3 Ga6'
_cell_length_a 4.6791
_cell_length_b 4.6791
_cell_length_c 26.6169
_cell_angle_alpha 90.00
_cell_angle_beta 90.00
_cell_angle_gamma 120.00
_symmetry_space_group_name_H-M 'R -3 m'
_symmetry_Int_Tables_number 166
_symmetry_space_group_name_Hall '-R 3 2"'
loop_
_atom_site_label
_atom_site_type_symbol
_atom_site_fract_x
_atom_site_fract_y
_atom_site_fract_z
Li1 Li 0.0000 0.0000 0.1061
Pm1 Pm 0.0000 0.0000 0.3739
Sm1 Sm 0.0000 0.0000 0.5000
Ga1 Ga 0.0000 0.0000 0.2366
# * ΔE_f: -0.287 eV/atom



> Number 2 is which compound?

Pm4Al2GaAg